First-principles (PBE) data for Pm2TlSi2Rh5 after structural relaxation, as listed in the Alexandria database.

## Properties
**Calculated total energy**: -6.76 eV/atom
**Density of states at the Fermi level**: 7.46 states/eV per cell

abc: 9.995 9.995 3.551
angles: 90.00 90.00 90.00
Space group P4/mbm (No. 127)
Inequivalent atoms, fractional coordinates:
Pm (0.177, 0.323, 0.000) x4
Tl (0.000, 0.000, 0.000) x2
Si (0.120, 0.620, 0.000) x4
Rh (0.000, 0.500, 0.500) x2
Rh (0.069, 0.778, 0.500) x8